1.
Density functional theory data (PBE-GGA) for a relaxed BaBeOs2 crystal.

a = 4.091 Å, b = 3.015 Å, c = 6.649 Å
α = 78.84°, β = 90.00°, γ = 90.00°
Element x y z (fractional)
1 Be 0.500 0.878 0.846
2 Os 0.000 0.843 0.010
3 Os 0.500 0.258 0.119
4 Ba 0.000 0.522 0.525

Calculated values
SG: Pm, No. 6
Total energy (eV per atom): -6.51
Density (Mg/m³): 10.874
DFT formation energy (eV per atom): 0.5220

2.
Density functional theory data (PBE-GGA) for a relaxed MgTiCoSi2 crystal.

a = 4.293 Å, b = 4.513 Å, c = 4.293 Å
α = 90.00°, β = 90.00°, γ = 90.00°
Element x y z (fractional)
1 Si 0.000 0.000 0.500
2 Si 0.500 0.000 0.000
3 Co 0.000 0.000 0.000
4 Mg 0.000 0.500 0.000
5 Ti 0.500 0.500 0.500

Calculated values
SG: P4/mmm, No. 123
Total energy (eV per atom): -5.21
Density (Mg/m³): 3.739

3.
Density functional theory data (PBE-GGA) for a relaxed KAs2W2 crystal.

a = 8.269 Å, b = 8.269 Å, c = 3.117 Å
α = 90.00°, β = 90.00°, γ = 90.00°
Element x y z (fractional)
1 As 0.344 0.844 0.000
2 As 0.844 0.656 0.000
3 As 0.656 0.156 0.000
4 As 0.156 0.344 0.000
5 K 0.000 0.000 0.000
6 K 0.500 0.500 0.000
7 W 0.101 0.601 0.500
8 W 0.601 0.899 0.500
9 W 0.899 0.399 0.500
10 W 0.399 0.101 0.500

Calculated values
SG: P4/mbm, No. 127
Total energy (eV per atom): -6.74
Energy relative to the lowest polymorph listed for this composition (meV per atom): 677
Density (Mg/m³): 8.675
DFT formation energy (eV per atom): 0.5208

4.
Density functional theory data (PBE-GGA) for a relaxed CuNiBr2 crystal.

a = 4.696 Å, b = 4.696 Å, c = 3.319 Å
α = 90.00°, β = 90.00°, γ = 90.00°
Element x y z (fractional)
1 Br 0.000 0.000 0.000
2 Br 0.500 0.500 0.000
3 Cu 0.500 0.000 0.500
4 Ni 0.000 0.500 0.500

Calculated values
SG: P4/mmm, No. 123
Total energy (eV per atom): -2.88
Energy relative to the lowest polymorph listed for this composition (meV per atom): 541
Density (Mg/m³): 6.400